Entry 1:
Computed, not measured: a geometry-optimized La2Al structure at the PBE-GGA level of DFT.

Lattice parameters (Å, degrees): 6.035 6.035 6.035 144.76 135.90 57.67
Fractional coordinates of all 3 atoms:
La 0.149 0.149 0.000
La 0.851 0.851 0.000
Al 0.500 0.500 0.000

- Space-group type: Immm
- DFT total energy: -4.77 eV/atom
- Energy of formation: -23 kJ/mol of atoms



Entry 2:
Computed, not measured: a geometry-optimized NaBi2Pb structure at the PBE-GGA level of DFT.

Lattice parameters (Å, degrees): 6.002 6.002 5.436 104.79 104.79 41.90
Fractional coordinates of all 4 atoms:
Na 0.000 0.000 0.000
Bi 0.497 0.497 0.490
Bi 0.761 0.761 0.294
Pb 0.241 0.241 0.745

- Space-group type: Cm
- DFT total energy: -3.30 eV/atom
- Energy of formation: -10 kJ/mol of atoms